<w>
! CaNbRh | Alexandria | PBE-GGA | optimized geometry; values from VASP
! space group: C2/m (12)
&SYSTEM
  ibrav = 0, nat = 12, ntyp = 3
/
ATOMIC_SPECIES
Nb 92.91 Nb.upf
Rh 102.91 Rh.upf
Ca 40.08 Ca.upf
CELL_PARAMETERS angstrom
3.019 0.000 0.005
0.000 15.345 0.000
-1.093 0.000 5.203
ATOMIC_POSITIONS crystal
Nb 0.206 0.500 0.760
Rh 0.500 0.372 0.500
Nb 0.206 0.000 0.260
Ca 0.000 0.814 0.500
Rh 0.500 0.128 0.000
Ca 0.000 0.686 0.000
Rh 0.500 0.872 0.000
Nb 0.794 0.500 0.240
Ca 0.000 0.186 0.500
Ca 0.000 0.314 0.000
Rh 0.500 0.628 0.500
Nb 0.794 0.000 0.740

=====

<x>
! CaNbRh | Alexandria | PBE-GGA | optimized geometry; values from VASP
! space group: P1 (1)
&SYSTEM
  ibrav = 0, nat = 6, ntyp = 3
/
ATOMIC_SPECIES
Ca 40.08 Ca.upf
Nb 92.91 Nb.upf
Rh 102.91 Rh.upf
CELL_PARAMETERS angstrom
-1.060 2.548 -1.670
-3.256 2.049 2.101
6.306 7.653 4.664
ATOMIC_POSITIONS crystal
Ca 0.755 0.764 0.797
Nb 0.450 0.640 0.526
Rh 0.130 0.193 0.614
Nb 0.803 0.081 0.372
Ca 0.356 0.243 0.094
Rh 0.572 0.644 0.268

=====

Energies relative to the most stable structure, in eV/atom: <w> 0.000; <x> 0.104.

=====

<w>
! CaNb3Rh | Alexandria | PBE-GGA | optimized geometry; values from VASP
! space group: Pm-3m (221)
&SYSTEM
  ibrav = 0, nat = 5, ntyp = 3
/
ATOMIC_SPECIES
Ca 40.08 Ca.upf
Nb 92.91 Nb.upf
Rh 102.91 Rh.upf
CELL_PARAMETERS angstrom
4.650 0.000 0.000
0.000 4.650 0.000
0.000 0.000 4.650
ATOMIC_POSITIONS crystal
Ca 0.000 0.000 0.000
Nb 0.000 0.500 0.000
Nb 0.500 0.000 0.000
Rh 0.500 0.500 0.500
Nb 0.000 0.000 0.500

=====

<x>
! CaNb3Rh | Alexandria | PBE-GGA | optimized geometry; values from VASP
! space group: Pm-3m (221)
&SYSTEM
  ibrav = 0, nat = 5, ntyp = 3
/
ATOMIC_SPECIES
Nb 92.91 Nb.upf
Ca 40.08 Ca.upf
Rh 102.91 Rh.upf
CELL_PARAMETERS angstrom
-4.478 -1.826 -0.988
1.336 -0.737 -4.694
1.589 -4.526 1.163
ATOMIC_POSITIONS crystal
Nb 0.000 0.500 0.000
Ca 0.500 0.500 0.500
Rh 0.000 0.000 0.000
Nb 0.000 0.000 0.500
Nb 0.500 0.000 0.000

=====

Energies relative to the most stable structure, in eV/atom: <w> 1.491; <x> 0.000.

=====

<w>
! Ca3NbRh | Alexandria | PBE-GGA | optimized geometry; values from VASP
! space group: Pm-3m (221)
&SYSTEM
  ibrav = 0, nat = 5, ntyp = 3
/
ATOMIC_SPECIES
Nb 92.91 Nb.upf
Ca 40.08 Ca.upf
Rh 102.91 Rh.upf
CELL_PARAMETERS angstrom
5.317 0.000 0.000
0.000 5.317 0.000
0.000 0.000 5.317
ATOMIC_POSITIONS crystal
Nb 0.000 0.000 0.000
Ca 0.000 0.000 0.500
Ca 0.500 0.000 0.000
Ca 0.000 0.500 0.000
Rh 0.500 0.500 0.500

=====

<x>
! Ca3NbRh | Alexandria | PBE-GGA | optimized geometry; values from VASP
! space group: Pm-3m (221)
&SYSTEM
  ibrav = 0, nat = 5, ntyp = 3
/
ATOMIC_SPECIES
Ca 40.08 Ca.upf
Nb 92.91 Nb.upf
Rh 102.91 Rh.upf
CELL_PARAMETERS angstrom
5.403 0.000 0.000
0.000 5.403 0.000
0.000 0.000 5.403
ATOMIC_POSITIONS crystal
Ca 0.500 0.000 0.000
Nb 0.500 0.500 0.500
Ca 0.000 0.500 0.000
Ca 0.000 0.000 0.500
Rh 0.000 0.000 0.000

=====

Energies relative to the most stable structure, in eV/atom: <w> 0.818; <x> 0.000.

=====

<w>
! Ca2NbRh | Alexandria | PBE-GGA | optimized geometry; values from VASP
! space group: Fm-3m (225)
&SYSTEM
  ibrav = 0, nat = 4, ntyp = 3
/
ATOMIC_SPECIES
Rh 102.91 Rh.upf
Ca 40.08 Ca.upf
Nb 92.91 Nb.upf
CELL_PARAMETERS angstrom
-2.126 0.373 4.610
-1.775 4.484 1.629
-5.016 0.744 0.437
ATOMIC_POSITIONS crystal
Rh 0.500 0.500 0.500
Ca 0.750 0.750 0.750
Ca 0.250 0.250 0.250
Nb 0.000 0.000 0.000

=====

<x>
! Ca2NbRh | Alexandria | PBE-GGA | optimized geometry; values from VASP
! space group: I-42d (122)
&SYSTEM
  ibrav = 0, nat = 8, ntyp = 3
/
ATOMIC_SPECIES
Rh 102.91 Rh.upf
Ca 40.08 Ca.upf
Nb 92.91 Nb.upf
CELL_PARAMETERS angstrom
10.294 0.000 0.000
0.000 10.294 0.000
5.147 5.147 2.443
ATOMIC_POSITIONS crystal
Rh 0.000 0.000 0.000
Rh 0.750 0.250 0.500
Ca 0.770 0.125 0.250
Ca 0.875 0.020 0.750
Nb 0.250 0.750 0.500
Nb 0.500 0.500 0.000
Ca 0.980 0.625 0.250
Ca 0.375 0.230 0.750

=====

Energies relative to the most stable structure, in eV/atom: <w> 0.008; <x> 0.000.

=====

<w>
! Ca3NbRu | Alexandria | PBE-GGA | optimized geometry; values from VASP
! space group: Pm-3m (221)
&SYSTEM
  ibrav = 0, nat = 5, ntyp = 3
/
ATOMIC_SPECIES
Ru 101.07 Ru.upf
Nb 92.91 Nb.upf
Ca 40.08 Ca.upf
CELL_PARAMETERS angstrom
-0.914 -1.821 4.967
-4.358 -2.599 -1.755
3.000 -4.330 -1.036
ATOMIC_POSITIONS crystal
Ru 0.000 0.000 0.000
Nb 0.500 0.500 0.500
Ca 0.500 0.000 0.000
Ca 0.000 0.000 0.500
Ca 0.000 0.500 0.000

=====

<x>
! Ca3NbRu | Alexandria | PBE-GGA | optimized geometry; values from VASP
! space group: Pm-3m (221)
&SYSTEM
  ibrav = 0, nat = 5, ntyp = 3
/
ATOMIC_SPECIES
Ca 40.08 Ca.upf
Ru 101.07 Ru.upf
Nb 92.91 Nb.upf
CELL_PARAMETERS angstrom
5.409 0.000 0.000
0.000 5.409 0.000
0.000 0.000 5.409
ATOMIC_POSITIONS crystal
Ca 0.500 0.000 0.000
Ru 0.500 0.500 0.500
Nb 0.000 0.000 0.000
Ca 0.000 0.500 0.000
Ca 0.000 0.000 0.500

=====

Energies relative to the most stable structure, in eV/atom: <w> 0.000; <x> 0.723.

=====

<w>
! CaNb2Ru | Alexandria | PBE-GGA | optimized geometry; values from VASP
! space group: Fm-3m (225)
&SYSTEM
  ibrav = 0, nat = 4, ntyp = 3
/
ATOMIC_SPECIES
Ca 40.08 Ca.upf
Nb 92.91 Nb.upf
Ru 101.07 Ru.upf
CELL_PARAMETERS angstrom
0.000 3.315 3.315
3.315 0.000 3.315
3.315 3.315 0.000
ATOMIC_POSITIONS crystal
Ca 0.000 0.000 0.000
Nb 0.750 0.750 0.750
Nb 0.250 0.250 0.250
Ru 0.500 0.500 0.500

=====

<x>
! CaNb2Ru | Alexandria | PBE-GGA | optimized geometry; values from VASP
! space group: I4_1/amd (141)
&SYSTEM
  ibrav = 0, nat = 8, ntyp = 3
/
ATOMIC_SPECIES
Ca 40.08 Ca.upf
Nb 92.91 Nb.upf
Ru 101.07 Ru.upf
CELL_PARAMETERS angstrom
-0.909 -4.634 1.499
4.831 -0.663 0.880
0.845 0.263 9.512
ATOMIC_POSITIONS crystal
Ca 0.500 0.500 0.000
Nb 0.875 0.125 0.250
Nb 0.375 0.125 0.750
Nb 0.875 0.625 0.250
Ru 0.750 0.250 0.500
Nb 0.875 0.125 0.750
Ca 0.250 0.750 0.500
Ru 0.000 0.000 0.000

=====

Energies relative to the most stable structure, in eV/atom: <w> 0.000; <x> 0.541.

=====

<w>
! CaNb3S | Alexandria | PBE-GGA | optimized geometry; values from VASP
! space group: Pm-3m (221)
&SYSTEM
  ibrav = 0, nat = 5, ntyp = 3
/
ATOMIC_SPECIES
Nb 92.91 Nb.upf
Ca 40.08 Ca.upf
S 32.06 S.upf
CELL_PARAMETERS angstrom
-2.733 3.009 -2.404
-3.455 -0.614 3.160
1.701 3.587 2.557
ATOMIC_POSITIONS crystal
Nb 0.000 0.500 0.000
Nb 0.000 0.000 0.500
Ca 0.500 0.500 0.500
Nb 0.500 0.000 0.000
S 0.000 0.000 0.000

=====

<x>
! CaNb3S | Alexandria | PBE-GGA | optimized geometry; values from VASP
! space group: Pm-3m (221)
&SYSTEM
  ibrav = 0, nat = 5, ntyp = 3
/
ATOMIC_SPECIES
Nb 92.91 Nb.upf
Ca 40.08 Ca.upf
S 32.06 S.upf
CELL_PARAMETERS angstrom
-2.006 0.108 4.364
2.008 -4.242 1.027
3.876 2.253 1.726
ATOMIC_POSITIONS crystal
Nb 0.500 0.000 0.000
Ca 0.000 0.000 0.000
S 0.500 0.500 0.500
Nb 0.000 0.000 0.500
Nb 0.000 0.500 0.000

=====

Energies relative to the most stable structure, in eV/atom: <w> 0.000; <x> 2.271.

=====

<w>
! CaNb3Sb | Alexandria | PBE-GGA | optimized geometry; values from VASP
! space group: Pm-3m (221)
&SYSTEM
  ibrav = 0, nat = 5, ntyp = 3
/
ATOMIC_SPECIES
Nb 92.91 Nb.upf
Sb 121.76 Sb.upf
Ca 40.08 Ca.upf
CELL_PARAMETERS angstrom
5.149 0.000 0.000
0.000 5.149 0.000
0.000 0.000 5.149
ATOMIC_POSITIONS crystal
Nb 0.000 0.000 0.500
Nb 0.000 0.500 0.000
Nb 0.500 0.000 0.000
Sb 0.000 0.000 0.000
Ca 0.500 0.500 0.500

=====

<x>
! CaNb3Sb | Alexandria | PBE-GGA | optimized geometry; values from VASP
! space group: Pm-3m (221)
&SYSTEM
  ibrav = 0, nat = 5, ntyp = 3
/
ATOMIC_SPECIES
Nb 92.91 Nb.upf
Ca 40.08 Ca.upf
Sb 121.76 Sb.upf
CELL_PARAMETERS angstrom
-4.124 2.211 1.139
-2.132 -2.006 -3.824
-1.281 -3.779 2.696
ATOMIC_POSITIONS crystal
Nb 0.000 0.500 0.000
Ca 0.000 0.000 0.000
Nb 0.000 0.000 0.500
Nb 0.500 0.000 0.000
Sb 0.500 0.500 0.500

=====

Energies relative to the most stable structure, in eV/atom: <w> 0.000; <x> 0.848.

=====

<w>
! CaNbSb2 | Alexandria | PBE-GGA | optimized geometry; values from VASP
! space group: P4/mmm (123)
&SYSTEM
  ibrav = 0, nat = 4, ntyp = 3
/
ATOMIC_SPECIES
Ca 40.08 Ca.upf
Sb 121.76 Sb.upf
Nb 92.91 Nb.upf
CELL_PARAMETERS angstrom
3.528 0.000 0.000
0.000 3.528 0.000
0.000 0.000 7.685
ATOMIC_POSITIONS crystal
Ca 0.500 0.500 0.500
Sb 0.000 0.000 0.211
Nb 0.500 0.500 0.000
Sb 0.000 0.000 0.789

=====

<x>
! CaNbSb2 | Alexandria | PBE-GGA | optimized geometry; values from VASP
! space group: Fm-3m (225)
&SYSTEM
  ibrav = 0, nat = 4, ntyp = 3
/
ATOMIC_SPECIES
Ca 40.08 Ca.upf
Sb 121.76 Sb.upf
Nb 92.91 Nb.upf
CELL_PARAMETERS angstrom
4.342 0.945 2.565
-0.188 2.115 4.670
1.198 -2.795 4.132
ATOMIC_POSITIONS crystal
Ca 0.000 0.000 0.000
Sb 0.250 0.250 0.250
Sb 0.750 0.750 0.750
Nb 0.500 0.500 0.500

=====

Energies relative to the most stable structure, in eV/atom: <w> 0.000; <x> 0.192.

=====

<w>
! Ca2Nb2Sb | Alexandria | PBE-GGA | optimized geometry; values from VASP
! space group: P4/mbm (127)
&SYSTEM
  ibrav = 0, nat = 10, ntyp = 3
/
ATOMIC_SPECIES
Nb 92.91 Nb.upf
Ca 40.08 Ca.upf
Sb 121.76 Sb.upf
CELL_PARAMETERS angstrom
7.802 0.000 0.000
0.000 7.802 0.000
0.000 0.000 3.983
ATOMIC_POSITIONS crystal
Nb 0.173 0.673 0.500
Ca 0.636 0.136 0.000
Sb 0.000 0.000 0.000
Sb 0.500 0.500 0.000
Nb 0.673 0.827 0.500
Ca 0.136 0.364 0.000
Nb 0.327 0.173 0.500
Ca 0.364 0.864 0.000
Ca 0.864 0.636 0.000
Nb 0.827 0.327 0.500

=====

<x>
! Ca2Nb2Sb | Alexandria | PBE-GGA | optimized geometry; values from VASP
! space group: I4/mmm (139)
&SYSTEM
  ibrav = 0, nat = 5, ntyp = 3
/
ATOMIC_SPECIES
Ca 40.08 Ca.upf
Nb 92.91 Nb.upf
Sb 121.76 Sb.upf
CELL_PARAMETERS angstrom
-1.001 2.382 2.646
-3.561 -0.662 -0.751
-2.307 -6.691 7.734
ATOMIC_POSITIONS crystal
Ca 0.601 0.601 0.798
Nb 0.750 0.250 0.500
Sb 0.000 0.000 0.000
Nb 0.250 0.750 0.500
Ca 0.399 0.399 0.202

=====

Energies relative to the most stable structure, in eV/atom: <w> 0.793; <x> 0.000.

=====

<w>
! Ca2NbZnSb | Alexandria | PBE-GGA | optimized geometry; values from VASP
! space group: P4/mmm (123)
&SYSTEM
  ibrav = 0, nat = 5, ntyp = 4
/
ATOMIC_SPECIES
Ca 40.08 Ca.upf
Zn 65.41 Zn.upf
Sb 121.76 Sb.upf
Nb 92.91 Nb.upf
CELL_PARAMETERS angstrom
-5.235 2.290 0.804
-2.215 -4.412 -1.853
-0.132 -2.177 5.342
ATOMIC_POSITIONS crystal
Ca 0.000 0.000 0.500
Zn 0.500 0.500 0.500
Sb 0.000 0.500 0.000
Nb 0.000 0.000 0.000
Ca 0.500 0.000 0.000

=====

<x>
! Ca2NbZnSb | Alexandria | PBE-GGA | optimized geometry; values from VASP
! space group: P4/mmm (123)
&SYSTEM
  ibrav = 0, nat = 5, ntyp = 4
/
ATOMIC_SPECIES
Nb 92.91 Nb.upf
Ca 40.08 Ca.upf
Sb 121.76 Sb.upf
Zn 65.41 Zn.upf
CELL_PARAMETERS angstrom
-1.193 -3.252 4.130
2.571 -3.643 -2.126
4.445 1.636 2.573
ATOMIC_POSITIONS crystal
Nb 0.000 0.500 0.000
Ca 0.000 0.000 0.500
Sb 0.500 0.500 0.500
Ca 0.500 0.000 0.000
Zn 0.000 0.000 0.000

=====

<y>
! Ca2NbZnSb | Alexandria | PBE-GGA | optimized geometry; values from VASP
! space group: P4/mmm (123)
&SYSTEM
  ibrav = 0, nat = 5, ntyp = 4
/
ATOMIC_SPECIES
Zn 65.41 Zn.upf
Ca 40.08 Ca.upf
Nb 92.91 Nb.upf
Sb 121.76 Sb.upf
CELL_PARAMETERS angstrom
-4.810 2.150 1.627
-2.487 -3.521 -2.697
-0.014 -3.347 4.382
ATOMIC_POSITIONS crystal
Zn 0.000 0.000 0.000
Ca 0.500 0.000 0.000
Nb 0.500 0.500 0.500
Sb 0.000 0.500 0.000
Ca 0.000 0.000 0.500

=====

Energies relative to the most stable structure, in eV/atom: <w> 0.211; <x> 0.000; <y> 0.363.

=====

<w>
! Ca2ScNb | Alexandria | PBE-GGA | optimized geometry; values from VASP
! space group: Fm-3m (225)
&SYSTEM
  ibrav = 0, nat = 4, ntyp = 3
/
ATOMIC_SPECIES
Nb 92.91 Nb.upf
Ca 40.08 Ca.upf
Sc 44.96 Sc.upf
CELL_PARAMETERS angstrom
-0.159 1.009 5.306
-4.314 2.433 2.160
-3.364 -2.787 3.181
ATOMIC_POSITIONS crystal
Nb 0.500 0.500 0.500
Ca 0.250 0.250 0.250
Ca 0.750 0.750 0.750
Sc 0.000 0.000 0.000

=====

<x>
! Ca2ScNb | Alexandria | PBE-GGA | optimized geometry; values from VASP
! space group: I-42d (122)
&SYSTEM
  ibrav = 0, nat = 8, ntyp = 3
/
ATOMIC_SPECIES
Ca 40.08 Ca.upf
Nb 92.91 Nb.upf
Sc 44.96 Sc.upf
CELL_PARAMETERS angstrom
-3.316 -7.912 0.315
7.088 -2.813 3.942
0.624 -4.725 4.852
ATOMIC_POSITIONS crystal
Ca 0.875 0.887 0.750
Nb 0.750 0.250 0.500
Sc 0.250 0.750 0.500
Ca 0.375 0.363 0.750
Ca 0.637 0.125 0.250
Sc 0.500 0.500 0.000
Nb 0.000 0.000 0.000
Ca 0.113 0.625 0.250

=====

Energies relative to the most stable structure, in eV/atom: <w> 0.000; <x> 0.218.

=====

<w>
! CaScNb2 | Alexandria | PBE-GGA | optimized geometry; values from VASP
! space group: I-42d (122)
&SYSTEM
  ibrav = 0, nat = 8, ntyp = 3
/
ATOMIC_SPECIES
Nb 92.91 Nb.upf
Sc 44.96 Sc.upf
Ca 40.08 Ca.upf
CELL_PARAMETERS angstrom
4.155 0.000 0.000
0.000 4.155 0.000
2.077 2.077 10.524
ATOMIC_POSITIONS crystal
Nb 0.640 0.125 0.250
Nb 0.875 0.890 0.750
Nb 0.110 0.625 0.250
Sc 0.000 0.000 0.000
Nb 0.375 0.360 0.750
Ca 0.500 0.500 0.000
Sc 0.750 0.250 0.500
Ca 0.250 0.750 0.500

=====

<x>
! CaScNb2 | Alexandria | PBE-GGA | optimized geometry; values from VASP
! space group: Fm-3m (225)
&SYSTEM
  ibrav = 0, nat = 4, ntyp = 3
/
ATOMIC_SPECIES
Sc 44.96 Sc.upf
Ca 40.08 Ca.upf
Nb 92.91 Nb.upf
CELL_PARAMETERS angstrom
0.000 3.534 3.534
3.534 0.000 3.534
3.534 3.534 0.000
ATOMIC_POSITIONS crystal
Sc 0.500 0.500 0.500
Ca 0.000 0.000 0.000
Nb 0.750 0.750 0.750
Nb 0.250 0.250 0.250

=====

Energies relative to the most stable structure, in eV/atom: <w> 0.035; <x> 0.000.